The following is a DFT calculation (PBE) of crystalline Ba2PaPtSe5 at its relaxed geometry.

Summary:
E_form (uncorrected): -1.452 eV/atom
total magnetic moment: 0.00 μB/cell

Cell: 9.557 9.557 13.520 Å, 90.00 90.00 154.73°
Fractional positions:
Ba  0.111  0.889  0.500
Ba  0.126  0.874  0.853
Ba  0.874  0.126  0.353
Ba  0.889  0.111  0.000
Pa  0.184  0.816  0.174
Pa  0.816  0.184  0.674
Pt  0.431  0.569  0.584
Pt  0.569  0.431  0.084
Se  0.035  0.965  0.179
Se  0.298  0.702  0.530
Se  0.309  0.691  0.819
Se  0.334  0.666  0.174
Se  0.496  0.504  0.418
Se  0.504  0.496  0.918
Se  0.666  0.334  0.674
Se  0.691  0.309  0.319
Se  0.702  0.298  0.030
Se  0.965  0.035  0.679